[1]
# CrRu2Rh | Alexandria via LeMat-Bulk | PBE-GGA | optimized geometry
data_CrRu2Rh
_symmetry_space_group_name_H-M 'P 1 2/m 1'
_symmetry_Int_Tables_number 10
_cell_length_a 2.684
_cell_length_b 3.729
_cell_length_c 5.407
_cell_angle_alpha 90.00
_cell_angle_beta 90.15
_cell_angle_gamma 90.00
loop_
_symmetry_equiv_pos_as_xyz
'x,y,z'
'-x,-y,-z'
'-x,y,-z'
'x,-y,z'
loop_
_atom_site_label
_atom_site_fract_x
_atom_site_fract_y
_atom_site_fract_z
Cr1 0.000 0.000 0.000
Ru1 0.499 0.500 0.236
Rh1 0.000 0.000 0.500
# formation energy from the elements	0.069	eV/atom
# energy	-8.812	eV per atom

---

[2]
# Cr3RuRh12 | Alexandria via LeMat-Bulk | PBE-GGA | optimized geometry
data_Cr3RuRh12
_symmetry_space_group_name_H-M 'P 4/m m m'
_symmetry_Int_Tables_number 123
_symmetry_space_group_name_Hall '-P 4 2'
_cell_length_a 3.815
_cell_length_b 3.815
_cell_length_c 15.230
_cell_angle_alpha 90.00
_cell_angle_beta 90.00
_cell_angle_gamma 90.00
loop_
_atom_site_label
_atom_site_fract_x
_atom_site_fract_y
_atom_site_fract_z
Cr1 0.000 0.000 0.000
Cr2 0.000 0.000 0.246
Ru1 0.000 0.000 0.500
Rh1 0.000 0.500 0.125
Rh2 0.000 0.500 0.374
Rh3 0.500 0.500 0.000
Rh4 0.500 0.500 0.250
Rh5 0.500 0.500 0.500
# formation energy from the elements	-0.083	eV/atom
# energy	-7.981	eV per atom

---

[3]
# CrRuRh | Alexandria via LeMat-Bulk | PBE-GGA | optimized geometry
data_CrRuRh
_symmetry_space_group_name_H-M 'F -4 3 m'
_symmetry_Int_Tables_number 216
_symmetry_space_group_name_Hall 'F -4 2 3'
_cell_length_a 5.662
_cell_length_b 5.662
_cell_length_c 5.662
_cell_angle_alpha 90.00
_cell_angle_beta 90.00
_cell_angle_gamma 90.00
loop_
_atom_site_label
_atom_site_fract_x
_atom_site_fract_y
_atom_site_fract_z
Cr1 0.000 0.000 0.000
Ru1 0.250 0.250 0.250
Rh1 0.250 0.250 0.750
# polymorph energy (0 for the lowest one)	0.291	eV per atom
# formation energy from the elements	0.320	eV/atom
# energy	-8.430	eV per atom

---

[4]
# CrRu2Rh | Alexandria via LeMat-Bulk | PBE-GGA | optimized geometry
data_CrRu2Rh
_symmetry_space_group_name_H-M 'C m m m'
_symmetry_Int_Tables_number 65
_symmetry_space_group_name_Hall '-C 2 2'
_cell_length_a 5.364
_cell_length_b 7.521
_cell_length_c 2.700
_cell_angle_alpha 90.00
_cell_angle_beta 90.00
_cell_angle_gamma 90.00
loop_
_atom_site_label
_atom_site_fract_x
_atom_site_fract_y
_atom_site_fract_z
Cr1 0.000 0.000 0.000
Ru1 0.250 0.250 0.500
Rh1 0.000 0.500 0.000
# formation energy from the elements	0.072	eV/atom
# energy	-8.810	eV per atom

---

[5]
# Cr2RuRh6 | Alexandria via LeMat-Bulk | PBE-GGA | optimized geometry
data_Cr2RuRh6
_symmetry_space_group_name_H-M 'C 1 2/m 1'
_symmetry_Int_Tables_number 12
_cell_length_a 9.260
_cell_length_b 4.210
_cell_length_c 7.809
_cell_angle_alpha 90.00
_cell_angle_beta 125.19
_cell_angle_gamma 90.00
loop_
_symmetry_equiv_pos_as_xyz
'x,y,z'
'-x,-y,-z'
'-x,y,-z'
'x,-y,z'
'x+1/2,y+1/2,z'
'-x+1/2,-y+1/2,-z'
'-x+1/2,y+1/2,-z'
'x+1/2,-y+1/2,z'
loop_
_atom_site_label
_atom_site_fract_x
_atom_site_fract_y
_atom_site_fract_z
Cr1 0.108 0.000 0.277
Ru1 0.000 0.500 0.000
Rh1 0.059 0.500 0.384
Rh2 0.173 0.000 0.663
Rh3 0.212 0.000 0.061
# formation energy from the elements	0.042	eV/atom
# energy	-8.028	eV per atom

---

[6]
# Cr2RuRh3 | Alexandria via LeMat-Bulk | PBE-GGA | optimized geometry
data_Cr2RuRh3
_symmetry_space_group_name_H-M 'P 1 2/m 1'
_symmetry_Int_Tables_number 10
_cell_length_a 4.617
_cell_length_b 2.667
_cell_length_c 6.501
_cell_angle_alpha 90.00
_cell_angle_beta 90.09
_cell_angle_gamma 90.00
loop_
_symmetry_equiv_pos_as_xyz
'x,y,z'
'-x,-y,-z'
'-x,y,-z'
'x,-y,z'
loop_
_atom_site_label
_atom_site_fract_x
_atom_site_fract_y
_atom_site_fract_z
Cr1 0.172 0.000 0.167
Ru1 0.500 0.000 0.500
Rh1 0.000 0.500 0.500
Rh2 0.320 0.500 0.841
# polymorph energy (0 for the lowest one)	0.000	eV per atom
# formation energy from the elements	-0.012	eV/atom
# energy	-8.442	eV per atom

---

[7]
# Cr2RuRh5 | Alexandria via LeMat-Bulk | PBE-GGA | optimized geometry
data_Cr2RuRh5
_symmetry_space_group_name_H-M 'C m c m'
_symmetry_Int_Tables_number 63
_symmetry_space_group_name_Hall '-C 2c 2'
_cell_length_a 2.672
_cell_length_b 15.033
_cell_length_c 12.100
_cell_angle_alpha 90.00
_cell_angle_beta 90.00
_cell_angle_gamma 90.00
loop_
_atom_site_label
_atom_site_fract_x
_atom_site_fract_y
_atom_site_fract_z
Cr1 0.000 0.115 0.089
Ru1 0.000 0.156 0.750
Rh1 0.000 0.032 0.609
Rh2 0.000 0.193 0.250
Rh3 0.000 0.309 0.062
# polymorph energy (0 for the lowest one)	0.133	eV per atom
# formation energy from the elements	0.369	eV/atom
# energy	-7.791	eV per atom

---

[8]
# Cr2Ru2Rh3 | Alexandria via LeMat-Bulk | PBE-GGA | optimized geometry
data_Cr2Ru2Rh3
_symmetry_space_group_name_H-M 'C 1 2/m 1'
_symmetry_Int_Tables_number 12
_cell_length_a 8.762
_cell_length_b 2.682
_cell_length_c 8.846
_cell_angle_alpha 90.00
_cell_angle_beta 112.50
_cell_angle_gamma 90.00
loop_
_symmetry_equiv_pos_as_xyz
'x,y,z'
'-x,-y,-z'
'-x,y,-z'
'x,-y,z'
'x+1/2,y+1/2,z'
'-x+1/2,-y+1/2,-z'
'-x+1/2,y+1/2,-z'
'x+1/2,-y+1/2,z'
loop_
_atom_site_label
_atom_site_fract_x
_atom_site_fract_y
_atom_site_fract_z
Cr1 0.055 0.000 0.275
Ru1 0.212 0.500 0.855
Rh1 0.000 0.500 0.000
Rh2 0.169 0.000 0.582
# formation energy from the elements	0.089	eV/atom
# energy	-8.461	eV per atom

---

- Which value of energy does entry 1 give?
  -8.812 eV per atom

---

Copy entry 2 word for word.
# Cr3RuRh12 | Alexandria via LeMat-Bulk | PBE-GGA | optimized geometry
data_Cr3RuRh12
_symmetry_space_group_name_H-M 'P 4/m m m'
_symmetry_Int_Tables_number 123
_symmetry_space_group_name_Hall '-P 4 2'
_cell_length_a 3.815
_cell_length_b 3.815
_cell_length_c 15.230
_cell_angle_alpha 90.00
_cell_angle_beta 90.00
_cell_angle_gamma 90.00
loop_
_atom_site_label
_atom_site_fract_x
_atom_site_fract_y
_atom_site_fract_z
Cr1 0.000 0.000 0.000
Cr2 0.000 0.000 0.246
Ru1 0.000 0.000 0.500
Rh1 0.000 0.500 0.125
Rh2 0.000 0.500 0.374
Rh3 0.500 0.500 0.000
Rh4 0.500 0.500 0.250
Rh5 0.500 0.500 0.500
# formation energy from the elements	-0.083	eV/atom
# energy	-7.981	eV per atom

---

- What is the energy in the eighth record?
  -8.461 eV per atom